(1)
The following is a PBE calculation of a relaxed ScBeRh2Br crystal, from Alexandria.

a b c (Å): 4.626 4.626 4.760
angles (deg): 90.00 90.00 90.00
Space group P4/mmm (No. 123)
Inequivalent atoms, fractional coordinates:
Sc (0.000, 0.000, 0.000)
Be (0.500, 0.500, 0.000)
Rh (0.000, 0.500, 0.500)
Br (0.000, 0.000, 0.500)

**Raw total energy**: -4.52 eV per atom
**Formation energy without anion corrections**: 0.77 eV per atom
**ρ**: 5.54 g/cm³
**Total magnetic moment**: 0.000 μB per formula unit

***

(2)
The following is a PBE calculation of a relaxed Cu2BrCl crystal, from Alexandria.

a b c (Å): 6.571 6.571 6.571
angles (deg): 90.00 90.00 90.00
Space group Fm-3m (No. 225)
Inequivalent atoms, fractional coordinates:
Cu (0.250, 0.250, 0.250)
Br (0.000, 0.000, 0.000)
Cl (0.000, 0.000, 0.500)

**Raw total energy**: -2.77 eV per atom
**Formation energy without anion corrections**: 0.16 eV per atom
**ρ**: 5.68 g/cm³
**Total magnetic moment**: 0.000 μB per formula unit

***

(3)
The following is a PBE calculation of a relaxed K2CaAg crystal, from Alexandria.

a b c (Å): 6.009 6.009 8.671
angles (deg): 90.00 90.00 90.00
Space group I-4m2 (No. 119)
Inequivalent atoms, fractional coordinates:
K (0.000, 0.000, 0.000)
K (0.000, 0.500, 0.250)
Ca (0.000, 0.000, 0.500)
Ag (0.000, 0.500, 0.750)

**Raw total energy**: -1.58 eV per atom
**ρ**: 2.40 g/cm³
**Total magnetic moment**: 0.000 μB per formula unit

***

(4)
The following is a PBE calculation of a relaxed TiMn crystal, from Alexandria.

a b c (Å): 9.562 9.562 2.700
angles (deg): 90.00 90.00 90.00
Space group I4/m (No. 87)
Inequivalent atoms, fractional coordinates:
Ti (0.129, 0.662, 0.000)
Mn (0.071, 0.168, 0.000)

**Raw total energy**: -8.21 eV per atom
**ρ**: 5.53 g/cm³
**Total magnetic moment**: 1.658 μB per formula unit

***

(5)
The following is a PBE calculation of a relaxed GeIr crystal, from Alexandria.

a b c (Å): 4.0058 4.0058 6.1161
angles (deg): 90.00 90.00 120.00
Space group P6_3mc (No. 186)
Inequivalent atoms, fractional coordinates:
Ge (0.3333, 0.6667, 0.0000)
Ir (0.3333, 0.6667, 0.3929)

**Raw total energy**: -6.54 eV per atom
**ρ**: 10.35 g/cm³
**Total magnetic moment**: 0.000 μB per formula unit

***

(6)
The following is a PBE calculation of a relaxed Y2Ta2O crystal, from Alexandria.

a b c (Å): 3.860 3.860 15.154
angles (deg): 90.00 90.00 90.00
Space group I4/mmm (No. 139)
Inequivalent atoms, fractional coordinates:
Y (0.000, 0.500, 0.250)
Ta (0.000, 0.000, 0.078)
O (0.000, 0.000, 0.500)

**Raw total energy**: -6.75 eV per atom
**Formation energy without anion corrections**: 1.57 eV per atom
**ρ**: 8.17 g/cm³
**Total magnetic moment**: 0.000 μB per formula unit

***

(7)
The following is a PBE calculation of a relaxed AcEr2Al4 crystal, from Alexandria.

a b c (Å): 4.338 4.470 18.864
angles (deg): 90.00 90.00 90.00
Space group Immm (No. 71)
Inequivalent atoms, fractional coordinates:
Ac (0.000, 0.000, 0.000)
Er (0.000, 0.500, 0.313)
Al (0.000, 0.000, 0.429)
Al (0.000, 0.500, 0.149)

**Raw total energy**: -4.39 eV per atom
**ρ**: 6.08 g/cm³
**Total magnetic moment**: 0.000 μB per formula unit

***

(8)
The following is a PBE calculation of a relaxed TiMnCoCu crystal, from Alexandria.

a b c (Å): 5.944 5.944 5.944
angles (deg): 90.00 90.00 90.00
Space group F-43m (No. 216)
Inequivalent atoms, fractional coordinates:
Ti (0.000, 0.000, 0.000)
Mn (0.000, 0.000, 0.500)
Co (0.250, 0.250, 0.250)
Cu (0.250, 0.250, 0.750)

**Raw total energy**: -7.15 eV per atom
**ρ**: 7.12 g/cm³
**Total magnetic moment**: 4.095 μB per formula unit

***

(9)
The following is a PBE calculation of a relaxed DySiNi2H crystal, from Alexandria.

a b c (Å): 3.714 10.198 6.700
angles (deg): 90.00 90.00 90.00
Space group Cmcm (No. 63)
Inequivalent atoms, fractional coordinates:
Dy (0.000, 0.059, 0.250)
Si (0.000, 0.223, 0.750)
Ni (0.000, 0.335, 0.058)
H (0.000, 0.500, 0.000)

**Raw total energy**: -5.71 eV per atom
**ρ**: 8.09 g/cm³
**Total magnetic moment**: 0.000 μB per formula unit

***

(10)
The following is a PBE calculation of a relaxed SrSi2As crystal, from Alexandria.

a b c (Å): 9.407 3.665 5.482
angles (deg): 90.00 106.53 90.00
Space group C2/m (No. 12)
Inequivalent atoms, fractional coordinates:
Sr (0.000, 0.000, 0.000)
Si (0.231, 0.000, 0.639)
As (0.000, 0.500, 0.500)

**Raw total energy**: -4.49 eV per atom
**Formation energy without anion corrections**: -0.20 eV per atom
**ρ**: 4.01 g/cm³
**Total magnetic moment**: 0.000 μB per formula unit

***

Question: What is the raw total energy in the fourth record?
Answer: -8.21 eV per atom